# 1
Density functional theory data (GGA-PBE) for Tb12CoSb6 after structural relaxation.

```
data_Tb12CoSb6
_cell_length_a 8.5438
_cell_length_b 8.5438
_cell_length_c 8.5438
_cell_angle_alpha 99.57
_cell_angle_beta 99.57
_cell_angle_gamma 99.57
_symmetry_space_group_name_H-M 'P 1'
_symmetry_Int_Tables_number 1
loop_
_symmetry_equiv_pos_as_xyz
'x,y,z'
loop_
_atom_site_label
_atom_site_fract_x
_atom_site_fract_y
_atom_site_fract_z
Tb1 0.5830 0.4504 0.8043
Tb2 0.5496 0.1957 0.4170
Tb3 0.0103 0.6929 0.9436
Tb4 0.8043 0.5830 0.4504
Tb5 0.3071 0.0564 0.9897
Tb6 0.4504 0.8043 0.5830
Tb7 0.9897 0.3071 0.0564
Tb8 0.1957 0.4170 0.5496
Tb9 0.9436 0.0103 0.6929
Tb10 0.6929 0.9436 0.0103
Tb11 0.0564 0.9897 0.3071
Tb12 0.4170 0.5496 0.1957
Sb1 0.3565 0.6870 0.8797
Sb2 0.3130 0.1203 0.6435
Sb3 0.6435 0.3130 0.1203
Sb4 0.8797 0.3565 0.6870
Sb5 0.1203 0.6435 0.3130
Sb6 0.6870 0.8797 0.3565
Co1 0.0000 0.0000 0.0000
```

Properties
* N(E_F): 0.71 states/eV/atom
* crystal system: trigonal
* uncorrected energy: -99.5 eV per cell



# 2
Density functional theory data (GGA-PBE) for Tb4CoSb2 after structural relaxation.

```
data_Tb4CoSb2
_cell_length_a 4.3353
_cell_length_b 8.6201
_cell_length_c 7.8972
_cell_angle_alpha 136.55
_cell_angle_beta 105.93
_cell_angle_gamma 90.00
_symmetry_space_group_name_H-M 'P 1'
_symmetry_Int_Tables_number 1
loop_
_symmetry_equiv_pos_as_xyz
'x,y,z'
loop_
_atom_site_label
_atom_site_fract_x
_atom_site_fract_y
_atom_site_fract_z
Tb1 0.9329 0.2116 0.8658
Tb2 0.0671 0.7884 0.1342
Tb3 0.6606 0.2684 0.3212
Tb4 0.3394 0.7316 0.6788
Sb1 0.3430 0.3499 0.6860
Sb2 0.6570 0.6501 0.3140
Co1 0.0000 0.0000 0.0000
```

Properties
* N(E_F): 0.70 states/eV/atom
* crystal system: monoclinic
* uncorrected energy: -38.4 eV per cell



Copy entry 2 word for word.
Density functional theory data (GGA-PBE) for Tb4CoSb2 after structural relaxation.

```
data_Tb4CoSb2
_cell_length_a 4.3353
_cell_length_b 8.6201
_cell_length_c 7.8972
_cell_angle_alpha 136.55
_cell_angle_beta 105.93
_cell_angle_gamma 90.00
_symmetry_space_group_name_H-M 'P 1'
_symmetry_Int_Tables_number 1
loop_
_symmetry_equiv_pos_as_xyz
'x,y,z'
loop_
_atom_site_label
_atom_site_fract_x
_atom_site_fract_y
_atom_site_fract_z
Tb1 0.9329 0.2116 0.8658
Tb2 0.0671 0.7884 0.1342
Tb3 0.6606 0.2684 0.3212
Tb4 0.3394 0.7316 0.6788
Sb1 0.3430 0.3499 0.6860
Sb2 0.6570 0.6501 0.3140
Co1 0.0000 0.0000 0.0000
```

Properties
* N(E_F): 0.70 states/eV/atom
* crystal system: monoclinic
* uncorrected energy: -38.4 eV per cell



- N(E_F) of number 1 (Tb12CoSb6)?
  0.71 states/eV/atom



Copy entry 1 word for word.
Density functional theory data (GGA-PBE) for Tb12CoSb6 after structural relaxation.

```
data_Tb12CoSb6
_cell_length_a 8.5438
_cell_length_b 8.5438
_cell_length_c 8.5438
_cell_angle_alpha 99.57
_cell_angle_beta 99.57
_cell_angle_gamma 99.57
_symmetry_space_group_name_H-M 'P 1'
_symmetry_Int_Tables_number 1
loop_
_symmetry_equiv_pos_as_xyz
'x,y,z'
loop_
_atom_site_label
_atom_site_fract_x
_atom_site_fract_y
_atom_site_fract_z
Tb1 0.5830 0.4504 0.8043
Tb2 0.5496 0.1957 0.4170
Tb3 0.0103 0.6929 0.9436
Tb4 0.8043 0.5830 0.4504
Tb5 0.3071 0.0564 0.9897
Tb6 0.4504 0.8043 0.5830
Tb7 0.9897 0.3071 0.0564
Tb8 0.1957 0.4170 0.5496
Tb9 0.9436 0.0103 0.6929
Tb10 0.6929 0.9436 0.0103
Tb11 0.0564 0.9897 0.3071
Tb12 0.4170 0.5496 0.1957
Sb1 0.3565 0.6870 0.8797
Sb2 0.3130 0.1203 0.6435
Sb3 0.6435 0.3130 0.1203
Sb4 0.8797 0.3565 0.6870
Sb5 0.1203 0.6435 0.3130
Sb6 0.6870 0.8797 0.3565
Co1 0.0000 0.0000 0.0000
```

Properties
* N(E_F): 0.71 states/eV/atom
* crystal system: trigonal
* uncorrected energy: -99.5 eV per cell



- Which formula does entry 1 have?
  Tb12CoSb6